# 1
Here is crystalline YCo2Sb at its relaxed geometry from the Alexandria database. Energies are from PBE-GGA.

Geometry as POSCAR:
```
YCo2Sb
1.0
7.435 0.000 0.000
0.000 4.289 0.000
-2.487 0.000 4.623
Y Co Sb
2 4 2
direct
0.000 0.000 0.000 Y
0.500 0.500 0.000 Y
0.198 0.000 0.595 Co
0.302 0.500 0.405 Co
0.698 0.500 0.595 Co
0.802 0.000 0.405 Co
0.000 0.500 0.500 Sb
0.500 0.000 0.500 Sb
```

***

# 2
Here is crystalline LiTh2Ge2 at its relaxed geometry from the Alexandria database. Energies are from PBE-GGA.

Geometry as POSCAR:
```
LiTh2Ge2
1.0
4.243 0.000 0.000
0.000 6.032 0.000
0.000 0.000 9.197
Li Th Ge
2 4 4
direct
0.000 0.000 0.000 Li
0.500 0.500 0.500 Li
0.000 0.500 0.210 Th
0.000 0.500 0.790 Th
0.500 0.000 0.290 Th
0.500 0.000 0.710 Th
0.000 0.217 0.500 Ge
0.000 0.783 0.500 Ge
0.500 0.283 0.000 Ge
0.500 0.717 0.000 Ge
```

***

# 3
Here is crystalline Pm2In2Ni15 at its relaxed geometry from the Alexandria database. Energies are from PBE-GGA.

Geometry as POSCAR:
```
Pm2In2Ni15
1.0
4.260 2.459 4.170
-4.260 2.459 4.170
0.000 -4.919 4.170
Pm In Ni
2 2 15
direct
0.146 0.146 0.146 Pm
0.854 0.854 0.854 Pm
0.393 0.393 0.393 In
0.607 0.607 0.607 In
0.000 0.500 0.500 Ni
0.153 0.153 0.659 Ni
0.153 0.659 0.153 Ni
0.198 0.500 0.802 Ni
0.198 0.802 0.500 Ni
0.341 0.847 0.847 Ni
0.500 0.000 0.500 Ni
0.500 0.198 0.802 Ni
0.500 0.500 0.000 Ni
0.500 0.802 0.198 Ni
0.659 0.153 0.153 Ni
0.802 0.198 0.500 Ni
0.802 0.500 0.198 Ni
0.847 0.341 0.847 Ni
0.847 0.847 0.341 Ni
```

***

# 4
Here is crystalline BaAs2PbF at its relaxed geometry from the Alexandria database. Energies are from PBE-GGA.

Geometry as POSCAR:
```
BaAs2PbF
1.0
5.933 0.000 0.000
0.000 5.933 0.000
0.000 0.000 4.747
Ba As Pb F
1 2 1 1
direct
0.000 0.000 0.000 Ba
0.000 0.500 0.000 As
0.500 0.000 0.000 As
0.500 0.500 0.500 Pb
0.000 0.000 0.500 F
```

***

# 5
Here is crystalline Mn2TlSi at its relaxed geometry from the Alexandria database. Energies are from PBE-GGA.

Geometry as POSCAR:
```
Mn2TlSi
1.0
8.221 0.000 0.000
0.000 3.104 0.000
-0.852 0.000 5.505
Mn Tl Si
4 2 2
direct
0.000 0.000 0.000 Mn
0.237 0.500 0.238 Mn
0.500 0.500 0.000 Mn
0.737 0.000 0.238 Mn
0.499 0.000 0.534 Tl
0.999 0.500 0.534 Tl
0.277 0.000 0.919 Si
0.777 0.500 0.919 Si
```

***

# 6
Rb2SbS4, relaxed, DFT PBE-GGA; E above lowest polymorph = 0.122 eV per atom
1.0
5.207 0.000 0.000
0.000 5.207 0.000
0.000 0.000 16.342
Rb Sb S
4 2 8
direct
0.000 0.000 0.140 Rb
0.000 0.000 0.860 Rb
0.500 0.500 0.360 Rb
0.500 0.500 0.640 Rb
0.000 0.000 0.500 Sb
0.500 0.500 0.000 Sb
0.000 0.000 0.353 S
0.000 0.000 0.647 S
0.000 0.500 0.000 S
0.000 0.500 0.500 S
0.500 0.000 0.000 S
0.500 0.000 0.500 S
0.500 0.500 0.147 S
0.500 0.500 0.853 S

***

# 7
Here is crystalline ZnFeNiPd2 at its relaxed geometry from the Alexandria database. Energies are from PBE-GGA.

Geometry as POSCAR:
```
ZnFeNiPd2
1.0
4.554 0.000 0.000
0.000 4.554 0.000
0.000 0.000 4.445
Zn Fe Ni Pd
1 1 1 2
direct
0.000 0.000 0.000 Zn
0.000 0.000 0.500 Fe
0.500 0.500 0.500 Ni
0.000 0.500 0.000 Pd
0.500 0.000 0.000 Pd
```

***

# 8
RbBe3As3, relaxed, DFT PBE-GGA; E above lowest polymorph = 0.051 eV per atom
1.0
6.489 0.000 0.000
0.000 6.489 0.000
0.000 0.000 6.489
Rb Be As
2 6 6
direct
0.000 0.000 0.000 Rb
0.500 0.500 0.500 Rb
0.000 0.250 0.500 Be
0.000 0.750 0.500 Be
0.250 0.500 0.000 Be
0.500 0.000 0.250 Be
0.500 0.000 0.750 Be
0.750 0.500 0.000 Be
0.000 0.500 0.250 As
0.000 0.500 0.750 As
0.250 0.000 0.500 As
0.500 0.250 0.000 As
0.500 0.750 0.000 As
0.750 0.000 0.500 As

***

# 9
Here is crystalline NdMg2InPb at its relaxed geometry from the Alexandria database. Energies are from PBE-GGA.

Geometry as POSCAR:
```
NdMg2InPb
1.0
2.381 -5.660 0.000
2.381 5.660 0.000
0.000 0.000 9.895
Nd Mg In Pb
2 4 2 2
direct
0.054 0.946 0.750 Nd
0.946 0.054 0.250 Nd
0.229 0.771 0.084 Mg
0.229 0.771 0.416 Mg
0.771 0.229 0.584 Mg
0.771 0.229 0.916 Mg
0.500 0.500 0.000 In
0.500 0.500 0.500 In
0.336 0.664 0.750 Pb
0.664 0.336 0.250 Pb
```

***

# 10
Here is crystalline SrAgPb2 at its relaxed geometry from the Alexandria database. Energies are from PBE-GGA.

Geometry as POSCAR:
```
SrAgPb2
1.0
4.023 0.000 0.000
0.000 4.023 0.000
0.000 0.000 7.401
Sr Ag Pb
1 1 2
direct
0.000 0.000 0.000 Sr
0.500 0.500 0.263 Ag
0.000 0.000 0.465 Pb
0.500 0.500 0.708 Pb
```

***

# 11
Ni2PBr, relaxed, DFT PBE-GGA; E above lowest polymorph = 1.157 eV per atom
1.0
6.190 0.000 0.000
0.000 6.190 0.000
0.000 0.000 6.190
Ni P Br
8 4 4
direct
0.000 0.000 0.000 Ni
0.000 0.500 0.500 Ni
0.250 0.250 0.250 Ni
0.250 0.750 0.750 Ni
0.500 0.000 0.500 Ni
0.500 0.500 0.000 Ni
0.750 0.250 0.750 Ni
0.750 0.750 0.250 Ni
0.250 0.250 0.750 P
0.250 0.750 0.250 P
0.750 0.250 0.250 P
0.750 0.750 0.750 P
0.000 0.000 0.500 Br
0.000 0.500 0.000 Br
0.500 0.000 0.000 Br
0.500 0.500 0.500 Br

***

# 12
PrY2Ho, relaxed, DFT PBE-GGA; E above lowest polymorph = 0.009 eV per atom
1.0
5.082 0.000 0.000
0.000 5.082 0.000
0.000 0.000 5.090
Pr Y Ho
1 2 1
direct
0.000 0.000 0.000 Pr
0.000 0.500 0.500 Y
0.500 0.000 0.500 Y
0.500 0.500 0.000 Ho

***

# 13
CsHgPCl2, relaxed, DFT PBE-GGA; E above lowest polymorph = 0.700 eV per atom
1.0
6.453 0.000 0.000
0.000 6.453 0.000
0.000 0.000 7.546
Cs Hg P Cl
1 1 1 2
direct
0.000 0.000 0.000 Cs
0.500 0.500 0.500 Hg
0.000 0.000 0.500 P
0.000 0.500 0.000 Cl
0.500 0.000 0.000 Cl

***

# 14
Here is crystalline TbBi3 at its relaxed geometry from the Alexandria database. Energies are from PBE-GGA.

Geometry as POSCAR:
```
TbBi3
1.0
6.891 0.000 0.000
-3.446 5.968 0.000
0.000 0.000 5.934
Tb Bi
2 6
direct
0.333 0.667 0.250 Tb
0.667 0.333 0.750 Tb
0.174 0.348 0.750 Bi
0.174 0.826 0.750 Bi
0.348 0.174 0.250 Bi
0.652 0.826 0.750 Bi
0.826 0.174 0.250 Bi
0.826 0.652 0.250 Bi
```

***

# 15
AsIrAuC2, relaxed, DFT PBE-GGA; E above lowest polymorph = 0.078 eV per atom
1.0
3.791 0.000 0.000
1.392 4.433 0.000
0.782 2.184 4.543
As Ir Au C
1 1 1 2
direct
0.000 0.000 0.000 As
0.596 0.637 0.254 Ir
0.198 0.098 0.470 Au
0.602 0.610 0.652 C
0.705 0.468 0.930 C

***

# 16
Here is crystalline K2MnBiS4 at its relaxed geometry from the Alexandria database. Energies are from PBE-GGA.

Geometry as POSCAR:
```
K2MnBiS4
1.0
5.752 -5.728 0.000
5.752 5.728 0.000
-5.698 0.000 6.127
K Mn Bi S
4 2 2 8
direct
0.000 0.000 0.000 K
0.000 0.000 0.500 K
0.000 0.500 0.000 K
0.500 0.000 0.500 K
0.000 0.500 0.500 Mn
0.500 0.000 0.000 Mn
0.500 0.500 0.000 Bi
0.500 0.500 0.500 Bi
0.214 0.699 0.497 S
0.233 0.309 0.530 S
0.301 0.786 0.003 S
0.309 0.233 0.030 S
0.691 0.767 0.970 S
0.699 0.214 0.997 S
0.767 0.691 0.470 S
0.786 0.301 0.503 S
```

***

# 17
Here is crystalline TmTl2F5 at its relaxed geometry from the Alexandria database. Energies are from PBE-GGA.

Geometry as POSCAR:
```
TmTl2F5
1.0
6.311 -3.282 0.000
6.311 3.282 0.000
-3.025 0.000 8.147
Tm Tl F
2 4 10
direct
0.000 0.000 0.000 Tm
0.000 0.000 0.500 Tm
0.329 0.332 0.665 Tl
0.332 0.329 0.165 Tl
0.668 0.671 0.835 Tl
0.671 0.668 0.335 Tl
0.009 0.991 0.750 F
0.090 0.644 0.937 F
0.094 0.643 0.430 F
0.356 0.910 0.563 F
0.357 0.906 0.070 F
0.643 0.094 0.930 F
0.644 0.090 0.437 F
0.906 0.357 0.570 F
0.910 0.356 0.063 F
0.991 0.009 0.250 F
```

***

# 18
Here is crystalline ThFeSi3Ru at its relaxed geometry from the Alexandria database. Energies are from PBE-GGA.

Geometry as POSCAR:
```
ThFeSi3Ru
1.0
3.556 -5.428 0.000
3.556 5.428 0.000
0.000 0.000 5.599
Th Fe Si Ru
2 2 6 2
direct
0.238 0.762 0.750 Th
0.762 0.238 0.250 Th
0.038 0.962 0.250 Fe
0.962 0.038 0.750 Fe
0.231 0.769 0.250 Si
0.245 0.245 0.000 Si
0.245 0.245 0.500 Si
0.755 0.755 0.000 Si
0.755 0.755 0.500 Si
0.769 0.231 0.750 Si
0.434 0.566 0.250 Ru
0.566 0.434 0.750 Ru
```

***

# 19
Cd2PtW, relaxed, DFT PBE-GGA; E above lowest polymorph = 0.154 eV per atom
1.0
2.843 0.000 0.000
0.000 4.040 0.000
0.000 0.000 6.291
Cd Pt W
2 1 1
direct
0.000 0.000 0.000 Cd
0.500 0.500 0.263 Cd
0.000 0.000 0.538 Pt
0.500 0.500 0.729 W

***

# 20
Here is crystalline Pm2CoSi2 at its relaxed geometry from the Alexandria database. Energies are from PBE-GGA.

Geometry as POSCAR:
```
Pm2CoSi2
1.0
5.498 -2.089 0.000
5.498 2.089 0.000
-5.077 0.000 8.841
Pm Co Si
4 2 4
direct
0.004 0.004 0.170 Pm
0.186 0.186 0.601 Pm
0.814 0.814 0.399 Pm
0.996 0.996 0.830 Pm
0.276 0.276 0.119 Co
0.724 0.724 0.881 Co
0.333 0.333 0.929 Si
0.496 0.496 0.369 Si
0.504 0.504 0.631 Si
0.667 0.667 0.071 Si
```

***

| no. | energy (eV for the cell shown) |
| --- | --- |
| 1 | -51.79 |
| 2 | -57.85 |
| 3 | -104.67 |
| 4 | -18.59 |
| 5 | -49.00 |
| 6 | -50.83 |
| 7 | -20.88 |
| 8 | -54.31 |
| 9 | -31.20 |
| 10 | -12.62 |
| 11 | -60.32 |
| 12 | -22.19 |
| 13 | -9.11 |
| 14 | -35.31 |
| 15 | -32.09 |
| 16 | -75.18 |
| 17 | -85.09 |
| 18 | -87.38 |
| 19 | -20.03 |
| 20 | -61.70 |